A relaxed structure of YNbAl3, computed with GGA-PBE.

Unit cell a=4.9218 b=4.9218 c=4.9218 alpha=90.00 beta=90.00 gamma=90.00
Closest atoms and distances in Å follow each position.
Space group Pm-3m (No. 221)
Inequivalent atoms, fractional coordinates:
Y 0.0000 0.0000 0.0000 x1  12 Al 3.48
Nb 0.5000 0.5000 0.5000 x1  6 Al 2.46
Al 0.0000 0.5000 0.5000 x3  2 Nb 2.46

Properties
Energy = -26.790 eV for the cell shown
Formation enthalpy at 0 K = 194 meV/atom
DOS(E_F) = 3.0 states/eV per cell

A relaxed structure of YNbAl3, computed with GGA-PBE.

Unit cell a=5.0856 b=5.0856 c=5.0856 alpha=90.00 beta=90.00 gamma=90.00
Closest atoms and distances in Å follow each position.
Space group Pm-3m (No. 221)
Inequivalent atoms, fractional coordinates:
Y 0.0000 0.0000 0.0000 x1  6 Al 2.54
Nb 0.5000 0.5000 0.5000 x1  12 Al 3.60
Al 0.0000 0.0000 0.5000 x3  2 Y 2.54

Properties
Energy = -19.493 eV for the cell shown
Formation enthalpy at 0 K = 1654 meV/atom
DOS(E_F) = 11.8 states/eV per cell

A relaxed structure of YNb2Al2, computed with GGA-PBE.

Unit cell a=7.6051 b=7.6051 c=3.3621 alpha=90.00 beta=90.00 gamma=90.00
Closest atoms and distances in Å follow each position.
Space group P4/mbm (No. 127)
Inequivalent atoms, fractional coordinates:
Y 0.0000 0.0000 0.0000 x2  4 Al 3.03, 8 Nb 3.28, 2 Y 3.36
Nb 0.1730 0.3270 0.5000 x4  6 Al 2.79-2.82
Al 0.1203 0.6203 0.0000 x4  1 Al 2.59, 6 Nb 2.79-2.82

Properties
Energy = -70.131 eV for the cell shown
Formation enthalpy at 0 K = -195 meV/atom
DOS(E_F) = 8.9 states/eV per cell

The evaluated offset from the most stable computed form for the records listed, in turn: 0.0, 1459.4, 45.4 meV/atom.